a) # PmLuAg

PmLuAg after structural relaxation (GGA-PBE, Alexandria via LeMat-Bulk).

```
3
Lattice="3.5812 0.0000 0.0000 0.0000 3.5812 0.0000 -1.7906 -1.7906 6.3325" Properties=species:S:1:pos:R:3 pbc="T T T"
Lu 0.0000 0.0000 3.9283
Ag 1.7906 1.7906 2.2566
Pm 0.0000 0.0000 0.1476
```

Calculated values
Fermi-level density of states, states/eV/atom: 1.294
Space-group type: I4mm (107)
Total magnetic moment, μB per cell: 0.1

=====

b) # PmLuAg

PmLuAg after structural relaxation (GGA-PBE, Alexandria via LeMat-Bulk).

```
3
Lattice="3.7628 0.0000 0.0000 0.0000 5.0282 0.0000 0.0000 -2.5141 4.3546" Properties=species:S:1:pos:R:3 pbc="T T T"
Lu 0.4378 0.0000 0.0000
Ag 0.9266 0.0000 2.9031
Pm 2.3984 2.5141 1.4515
```

Calculated values
Fermi-level density of states, states/eV/atom: 0.926
Space-group type: P3m1 (156)
Total magnetic moment, μB per cell: 0.0

=====

a) comes first in stability; the runner-up is 137 meV/atom higher.

=====

a) # Lu2AgRu

Lu2AgRu after structural relaxation (GGA-PBE, Alexandria via LeMat-Bulk).

```
4
Lattice="-3.1785 -1.0482 0.1485 0.4955 -1.0574 3.1401 -2.0598 6.6073 2.5500" Properties=species:S:1:pos:R:3 pbc="T T T"
Ru -1.3415 -1.0528 1.6443
Lu -1.6052 5.1491 1.9872
Lu -0.4546 1.4582 0.5628
Ag -2.3714 2.2508 2.9193
```

Calculated values
Fermi-level density of states, states/eV/atom: 0.518
Space-group type: P4/mmm (123)
Total magnetic moment, μB per cell: 0.0

=====

b) # Lu2AgRu

Lu2AgRu after structural relaxation (GGA-PBE, Alexandria via LeMat-Bulk).

```
4
Lattice="4.8578 0.0000 0.0000 2.4289 4.2069 0.0000 2.4289 1.4023 3.9663" Properties=species:S:1:pos:R:3 pbc="T T T"
Lu 2.4289 1.4023 0.9916
Lu 7.2866 4.2069 2.9748
Ag 4.8578 2.8046 1.9832
Ru 0.0000 0.0000 0.0000
```

Calculated values
Fermi-level density of states, states/eV/atom: 0.348
Space-group type: Fm-3m (225)
Total magnetic moment, μB per cell: 0.0

=====

a) comes first in stability; the runner-up is 67 meV/atom higher.

=====

a) # Lu2ScAg

Lu2ScAg after structural relaxation (GGA-PBE, Alexandria via LeMat-Bulk).

```
4
Lattice="-3.1464 -0.8427 -1.0666 1.2498 -0.7354 -3.1056 1.3242 -8.0233 2.4329" Properties=species:S:1:pos:R:3 pbc="T T T"
Sc -0.2862 -4.8007 -0.8697
Lu 1.0239 -6.2039 1.8812
Lu 0.3003 -1.8194 0.5517
Ag -0.9483 -0.7891 -2.0861
```

Calculated values
Fermi-level density of states, states/eV/atom: 1.191
Space-group type: P4/mmm (123)
Total magnetic moment, μB per cell: 0.0

=====

b) # Lu2ScAg

Lu2ScAg after structural relaxation (GGA-PBE, Alexandria via LeMat-Bulk).

```
4
Lattice="3.2548 0.0000 0.0000 1.6274 2.8187 0.0000 1.6274 0.9396 11.2583" Properties=species:S:1:pos:R:3 pbc="T T T"
Sc 0.0000 0.0000 0.0000
Lu 1.6274 0.9396 8.0882
Lu 4.8821 2.8187 3.1701
Ag 3.2548 1.8791 5.6291
```

Calculated values
Fermi-level density of states, states/eV/atom: 1.439
Space-group type: R-3m (166)
Total magnetic moment, μB per cell: 0.6

=====

a) comes first in stability; the runner-up is 350 meV/atom higher.